Record 1
DFT (PBE-GGA) results for a geometry-optimized PuPd12Pb3 structure.

Lattice parameters (Å, degrees): 4.1200 4.1200 16.4756 90.00 90.00 90.00
Space group P4/mmm (No. 123)
Symmetry-distinct sites (fractional):
Pu: 0.0000 0.0000 0.0000 (multiplicity 1)
Pd: 0.0000 0.5000 0.1252 (multiplicity 4)
Pd: 0.0000 0.5000 0.3757 (multiplicity 4)
Pd: 0.5000 0.5000 0.0000 (multiplicity 1)
Pd: 0.5000 0.5000 0.2516 (multiplicity 2)
Pd: 0.5000 0.5000 0.5000 (multiplicity 1)
Pb: 0.0000 0.0000 0.2518 (multiplicity 2)
Pb: 0.0000 0.0000 0.5000 (multiplicity 1)

ΔE_f	-0.35	eV/atom

Record 2
DFT (PBE-GGA) results for a geometry-optimized NdSmSiGe structure.

Lattice parameters (Å, degrees): 3.9908 4.4451 10.9524 90.00 90.00 90.00
Space group Amm2 (No. 38)
Symmetry-distinct sites (fractional):
Nd: 0.0000 0.0000 0.0000 (multiplicity 2)
Sm: 0.5000 0.0000 0.2784 (multiplicity 2)
Si: 0.5000 0.0000 0.5617 (multiplicity 2)
Ge: 0.0000 0.0000 0.7166 (multiplicity 2)

Record 3
DFT (PBE-GGA) results for a geometry-optimized Pm5Er3Th structure.

Lattice parameters (Å, degrees): 7.8809 7.8809 19.6258 90.00 90.00 90.00
Space group I4/mcm (No. 140)
Symmetry-distinct sites (fractional):
Pm: 0.0000 0.0000 0.0000 (multiplicity 4)
Pm: 0.2056 0.2944 0.1325 (multiplicity 16)
Er: 0.0000 0.0000 0.2500 (multiplicity 4)
Er: 0.1315 0.3685 0.5000 (multiplicity 8)
Th: 0.0000 0.5000 0.2500 (multiplicity 4)

ΔE_f	0.31	eV/atom

Record 4
DFT (PBE-GGA) results for a geometry-optimized La3Y2Er2 structure.

Lattice parameters (Å, degrees): 17.7934 3.5195 8.6426 90.00 118.53 90.00
Space group C2/m (No. 12)
Symmetry-distinct sites (fractional):
La: 0.0000 0.0000 0.0000 (multiplicity 2)
La: 0.2140 0.0000 0.2935 (multiplicity 4)
Y: 0.0649 0.5000 0.4116 (multiplicity 4)
Er: 0.1412 0.0000 0.8217 (multiplicity 4)

ΔE_f	0.11	eV/atom

Record 5
DFT (PBE-GGA) results for a geometry-optimized InPd6Au8 structure.

Lattice parameters (Å, degrees): 7.7402 7.7402 16.5264 90.00 90.00 120.00
Space group R-3 (No. 148, hexagonal axes)
Symmetry-distinct sites (fractional):
In: 0.0000 0.0000 0.0000 (multiplicity 3)
Pd: 0.0019 0.3301 0.0490 (multiplicity 18)
Au: 0.0000 0.0000 0.3312 (multiplicity 6)
Au: 0.0019 0.3391 0.8797 (multiplicity 18)

ΔE_f	-0.04	eV/atom

Record 6
DFT (PBE-GGA) results for a geometry-optimized Li4AcSe3O12 structure.

Lattice parameters (Å, degrees): 7.5857 7.5857 7.5857 90.00 90.00 90.00
Space group Im-3 (No. 204)
Symmetry-distinct sites (fractional):
Li: 0.2500 0.2500 0.2500 (multiplicity 8)
Ac: 0.0000 0.0000 0.0000 (multiplicity 2)
Se: 0.0000 0.0000 0.5000 (multiplicity 6)
O: 0.0000 0.3304 0.1615 (multiplicity 24)

Record 7
DFT (PBE-GGA) results for a geometry-optimized CaCu2SiO4 structure.

Lattice parameters (Å, degrees): 5.3543 5.4952 6.4167 90.00 90.00 90.00
Space group I222 (No. 23)
Symmetry-distinct sites (fractional):
Ca: 0.0000 0.0000 0.0000 (multiplicity 2)
Cu: 0.0000 0.5000 0.1985 (multiplicity 4)
Si: 0.0000 0.0000 0.5000 (multiplicity 2)
O: 0.1770 0.1714 0.3457 (multiplicity 8)

Record 8
DFT (PBE-GGA) results for a geometry-optimized Yb3Re structure.

Lattice parameters (Å, degrees): 6.6526 6.6526 5.1018 90.00 90.00 120.00
Space group P6_3/mmc (No. 194)
Symmetry-distinct sites (fractional):
Yb: 0.1779 0.3557 0.2500 (multiplicity 6)
Re: 0.3333 0.6667 0.7500 (multiplicity 2)

offset from the most stable computed form	0.0	kJ per mole of atoms
ΔE_f	0.37	eV/atom

Record 9
DFT (PBE-GGA) results for a geometry-optimized CaAsBr structure.

Lattice parameters (Å, degrees): 7.3612 4.2465 12.7879 90.00 91.21 90.00
Space group C2/m (No. 12)
Symmetry-distinct sites (fractional):
Ca: 0.1754 0.0000 0.2270 (multiplicity 4)
As: 0.0034 0.5000 0.0877 (multiplicity 4)
Br: 0.1533 0.0000 0.6492 (multiplicity 4)

offset from the most stable computed form	11.4	kJ per mole of atoms

| no. | VASP energy (eV per atom) |
| --- | --- |
| 1 | -5.84 |
| 2 | -5.69 |
| 3 | -4.67 |
| 4 | -5.15 |
| 5 | -4.05 |
| 6 | -5.27 |
| 7 | -6.29 |
| 8 | -3.89 |
| 9 | -3.94 |